DFT (GGA-PBE) results for a geometry-optimized RbAcF14 structure.

Geometry as POSCAR:
```
RbAcF14
1.0
-4.387 5.223 6.150
4.387 -5.223 6.150
4.387 5.223 -6.150
Rb Ac F
2 2 28
direct
0.316 0.066 0.250 Rb
0.684 0.934 0.750 Rb
0.000 0.000 0.500 Ac
0.000 0.500 0.000 Ac
0.035 0.137 0.333 F
0.035 0.702 0.898 F
0.040 0.142 0.898 F
0.065 0.690 0.375 F
0.184 0.310 0.875 F
0.235 0.553 0.682 F
0.256 0.858 0.398 F
0.304 0.137 0.602 F
0.304 0.702 0.167 F
0.321 0.514 0.420 F
0.321 0.901 0.807 F
0.371 0.553 0.818 F
0.406 0.099 0.920 F
0.406 0.486 0.307 F
0.594 0.514 0.693 F
0.594 0.901 0.080 F
0.629 0.447 0.182 F
0.679 0.099 0.193 F
0.679 0.486 0.580 F
0.696 0.298 0.833 F
0.696 0.863 0.398 F
0.744 0.142 0.602 F
0.765 0.447 0.318 F
0.816 0.690 0.125 F
0.935 0.310 0.625 F
0.960 0.858 0.102 F
0.965 0.298 0.102 F
0.965 0.863 0.667 F
```

uncorrected formation energy = -20.110 eV/f.u.
space group = No. 74

=====

DFT (GGA-PBE) results for a geometry-optimized RbAcF2 structure.

Geometry as POSCAR:
```
RbAcF2
1.0
3.472 0.000 0.000
0.000 3.472 0.000
0.000 0.000 7.792
Rb Ac F
1 1 2
direct
0.000 0.000 0.000 Rb
0.000 0.000 0.500 Ac
0.500 0.500 0.221 F
0.500 0.500 0.779 F
```

DOS(E_F) = 0.56 states/eV per atom
uncorrected formation energy = -8.069 eV/f.u.
energy relative to the lowest polymorph listed for this composition = 61.1 kJ/mol of atoms
space group = No. 123

=====

DFT (GGA-PBE) results for a geometry-optimized Rb2AcF6 structure.

Geometry as POSCAR:
```
Rb2AcF6
1.0
7.031 -3.282 0.000
7.031 3.282 0.000
-1.384 0.000 4.209
Rb Ac F
2 1 6
direct
0.167 0.167 0.166 Rb
0.833 0.833 0.834 Rb
0.500 0.500 0.500 Ac
0.130 0.582 0.357 F
0.299 0.701 0.000 F
0.418 0.870 0.643 F
0.582 0.130 0.357 F
0.701 0.299 0.000 F
0.870 0.418 0.643 F
```

DOS(E_F) = 1.44 states/eV per atom
uncorrected formation energy = -27.753 eV/f.u.
space group = No. 12

=====

DFT (GGA-PBE) results for a geometry-optimized Rb3AcF6 structure.

Geometry as POSCAR:
```
Rb3AcF6
1.0
6.881 0.000 0.000
0.000 7.100 0.000
-6.604 0.000 9.825
Rb Ac F
6 2 12
direct
0.000 0.000 0.000 Rb
0.000 0.500 0.500 Rb
0.222 0.049 0.741 Rb
0.222 0.451 0.241 Rb
0.778 0.549 0.759 Rb
0.778 0.951 0.259 Rb
0.500 0.000 0.500 Ac
0.500 0.500 0.000 Ac
0.161 0.179 0.447 F
0.161 0.321 0.947 F
0.241 0.729 0.418 F
0.241 0.771 0.918 F
0.400 0.073 0.273 F
0.400 0.427 0.773 F
0.600 0.573 0.227 F
0.600 0.927 0.727 F
0.759 0.229 0.082 F
0.759 0.271 0.582 F
0.839 0.679 0.053 F
0.839 0.821 0.553 F
```

DOS(E_F) = 0.00 states/eV per atom
uncorrected formation energy = -32.920 eV/f.u.
energy relative to the lowest polymorph listed for this composition = 0.0 kJ/mol of atoms
space group = No. 14